[1]
Material: Tc2SbCl
Method: DFT, PBE
State: relaxed

Lattice parameters (Å, degrees): 2.987 3.549 9.700 82.09 89.27 65.60
Space group P1 (No. 1)
Asymmetric unit:
Tc (0.000, 0.000, 0.000) (multiplicity 1)
Tc (0.275, 0.440, 0.158) (multiplicity 1)
Sb (0.716, 0.539, 0.398) (multiplicity 1)
Cl (0.521, 0.972, 0.805) (multiplicity 1)

## Properties
The energy above the most stable polymorph in this dataset is 121 meV per atom. Its electronic total energy is -6.64 eV/atom. For the energy relative to the elements, uncorrected, the calculation gives 0.12 eV/f.u.

***

[2]
Material: Sr3BPt
Method: DFT, PBE
State: relaxed

Lattice parameters (Å, degrees): 5.421 5.421 5.421 90.00 90.00 90.00
Space group Pm-3m (No. 221)
Asymmetric unit:
Sr (0.000, 0.000, 0.500) (multiplicity 3)
B (0.000, 0.000, 0.000) (multiplicity 1)
Pt (0.500, 0.500, 0.500) (multiplicity 1)

## Properties
The energy above the most stable polymorph in this dataset is 0 meV per atom. Its formation enthalpy at 0 K is 1.19 eV per formula unit. Its electronic total energy is -3.31 eV/atom.

***

[3]
Material: ZrAgRu2
Method: DFT, PBE
State: relaxed

Lattice parameters (Å, degrees): 6.430 6.430 6.430 90.00 90.00 90.00
Space group Fm-3m (No. 225)
Asymmetric unit:
Zr (0.000, 0.000, 0.000) (multiplicity 4)
Ag (0.000, 0.000, 0.500) (multiplicity 4)
Ru (0.250, 0.250, 0.250) (multiplicity 8)

## Properties
The energy above the most stable polymorph in this dataset is 108 meV per atom. Its formation enthalpy at 0 K is 0.38 eV per formula unit. Its electronic total energy is -7.39 eV/atom.

***

[4]
Material: TbDy6Tm6
Method: DFT, PBE
State: relaxed

Lattice parameters (Å, degrees): 6.964 10.997 10.886 90.00 90.00 90.00
Space group Cmmm (No. 65)
Asymmetric unit:
Tb (0.000, 0.000, 0.000) (multiplicity 2)
Dy (0.000, 0.000, 0.333) (multiplicity 4)
Dy (0.000, 0.263, 0.500) (multiplicity 4)
Dy (0.000, 0.356, 0.000) (multiplicity 4)
Tm (0.000, 0.500, 0.301) (multiplicity 4)
Tm (0.250, 0.250, 0.225) (multiplicity 8)

## Properties
Its formation enthalpy at 0 K is 2.92 eV per formula unit. Its electronic total energy is -4.32 eV/atom.